Record 1
Compound: Y14ErPu
Source: the Alexandria database
Functional: GGA-PBE
Structure: relaxed

Cell lengths 7.262, 7.262, 11.321 Å; angles 90.00, 90.00, 119.97 degrees
Each line ends with the local moment (μB).
Positions (direct):
Y: 0.668 0.837 0.753  0.04
Y: 0.163 0.332 0.753  0.04
Y: 0.833 0.667 0.500  -0.09
Y: 0.333 0.167 0.500  -0.09
Er: 0.334 0.666 0.000  0.15
Y: 0.167 0.833 0.251  -0.03
Y: 0.833 0.666 0.000  0.09
Y: 0.668 0.332 0.752  0.03
Y: 0.334 0.666 0.500  -0.10
Y: 0.834 0.166 0.500  -0.23
Y: 0.668 0.837 0.247  0.04
Y: 0.668 0.332 0.248  0.03
Pu: 0.833 0.167 0.000  5.62
Y: 0.163 0.332 0.247  0.04
Y: 0.167 0.833 0.749  -0.03
Y: 0.334 0.167 0.000  0.09

Properties
Total energy: -109.0 eV for the cell shown
Total moment: 5.861 μB per cell


Record 2
Compound: YErPu
Source: the Alexandria database
Functional: GGA-PBE
Structure: relaxed

Cell lengths 3.494, 3.494, 7.792 Å; angles 102.96, 102.96, 90.00 degrees
Each line ends with the local moment (μB).
Positions (direct):
Er: 0.613 0.613 0.227  0.05
Pu: 0.952 0.952 0.903  5.62
Y: 0.285 0.285 0.570  0.00

Properties
Energy above the lowest structure with this stoichiometry: 0.000 eV per atom
Total moment: 6.149 μB per cell


Record 3
Compound: Y8Er6Pu
Source: the Alexandria database
Functional: GGA-PBE
Structure: relaxed

Cell lengths 6.687, 9.262, 9.262 Å; angles 120.00, 90.00, 90.00 degrees
Each line ends with the local moment (μB).
Positions (direct):
Er: 0.399 0.074 0.398  0.07
Er: 0.601 0.676 0.074  0.07
Y: 0.110 0.025 0.691  0.02
Er: 0.601 0.398 0.324  0.07
Er: 0.399 0.602 0.676  0.07
Er: 0.399 0.324 0.926  0.07
Y: 0.890 0.975 0.309  0.02
Er: 0.601 0.926 0.602  0.07
Y: 0.110 0.309 0.335  0.02
Y: 0.890 0.335 0.025  0.02
Y: 0.110 0.665 0.975  0.02
Y: 0.801 0.333 0.667  -0.03
Y: 0.199 0.667 0.333  -0.03
Pu: 0.500 0.000 0.000  5.63
Y: 0.890 0.691 0.665  0.02

Properties
Total energy: -89.2 eV for the cell shown
Total moment: 6.797 μB per cell


Record 4
Compound: YErPu2
Source: the Alexandria database
Functional: GGA-PBE
Structure: relaxed

Cell lengths 3.436, 3.436, 11.572 Å; angles 81.46, 81.46, 60.00 degrees
Each line ends with the local moment (μB).
Positions (direct):
Y: 0.000 0.000 0.000  0.04
Pu: 0.751 0.751 0.748  5.51
Pu: 0.249 0.249 0.252  5.51
Er: 0.500 0.500 0.500  0.12

Properties
Energy above the lowest structure with this stoichiometry: 0.003 eV per atom
Total moment: 12.000 μB per cell


Record 5
Compound: YEr2Pu
Source: the Alexandria database
Functional: GGA-PBE
Structure: relaxed

Cell lengths 3.528, 3.528, 11.462 Å; angles 81.15, 81.15, 60.00 degrees
Each line ends with the local moment (μB).
Positions (direct):
Er: 0.082 0.082 0.754  0.02
Er: 0.251 0.251 0.246  0.06
Y: 0.501 0.501 0.498  -0.14
Pu: 0.666 0.666 0.002  5.57

Properties
Energy above the lowest structure with this stoichiometry: 0.000 eV per atom
Total moment: 5.810 μB per cell


Record 6
Compound: YErPu2
Source: the Alexandria database
Functional: GGA-PBE
Structure: relaxed

Cell lengths 3.398, 3.398, 10.115 Å; angles 90.00, 90.00, 90.00 degrees
Each line ends with the local moment (μB).
Positions (direct):
Pu: 0.000 0.000 0.747  5.59
Er: 0.500 0.500 0.500  0.35
Y: 0.500 0.500 0.000  0.17
Pu: 0.000 0.000 0.253  5.59

Properties
Energy above the lowest structure with this stoichiometry: 0.000 eV per atom
Total moment: 12.796 μB per cell


Record 7
Compound: YErPu
Source: the Alexandria database
Functional: GGA-PBE
Structure: relaxed

Cell lengths 3.357, 5.563, 9.652 Å; angles 90.00, 90.00, 90.00 degrees
Each line ends with the local moment (μB).
Positions (direct):
Pu: 0.500 0.000 0.258  -5.61
Er: 0.500 0.000 0.599  -0.28
Er: 0.000 0.500 0.401  -0.28
Pu: 0.000 0.500 0.742  -5.61
Y: 0.500 0.500 0.067  -0.12
Y: 0.000 0.000 0.933  -0.12

Properties
Energy above the lowest structure with this stoichiometry: 0.058 eV per atom
Total moment: 13.140 μB per cell


Record 8
Compound: YEr2Pu
Source: the Alexandria database
Functional: GGA-PBE
Structure: relaxed

Cell lengths 3.484, 3.484, 9.941 Å; angles 90.00, 90.00, 90.00 degrees
Each line ends with the local moment (μB).
Positions (direct):
Er: 0.000 0.000 0.743  -0.16
Er: 0.000 0.000 0.257  -0.16
Pu: 0.500 0.500 0.500  -5.56
Y: 0.500 0.500 0.000  0.08

Properties
Energy above the lowest structure with this stoichiometry: 0.006 eV per atom
Total moment: 6.183 μB per cell


Record 9
Compound: YEr2Pu
Source: the Alexandria database
Functional: GGA-PBE
Structure: relaxed

Cell lengths 3.430, 3.430, 12.319 Å; angles 82.00, 82.00, 60.00 degrees
Each line ends with the local moment (μB).
Positions (direct):
Pu: 0.000 0.000 0.000  5.81
Y: 0.500 0.500 0.500  -0.01
Er: 0.911 0.911 0.266  0.06
Er: 0.089 0.089 0.734  0.06

Properties
Energy above the lowest structure with this stoichiometry: 0.179 eV per atom
Total moment: 6.420 μB per cell


Record 10
Compound: Y4Er7Pu
Source: the Alexandria database
Functional: GGA-PBE
Structure: relaxed

Cell lengths 5.987, 5.916, 12.764 Å; angles 88.08, 76.44, 59.60 degrees
Each line ends with the local moment (μB).
Positions (direct):
Er: 0.293 0.000 0.000  -0.15
Y: 0.561 0.768 0.209  0.00
Er: 0.253 0.508 0.093  -0.09
Y: 0.119 0.467 0.363  0.05
Y: 0.538 0.232 0.791  0.00
Er: 0.685 0.169 0.512  0.01
Er: 0.854 0.492 0.907  -0.09
Er: 0.219 0.878 0.759  0.00
Er: 0.366 0.831 0.488  0.01
Er: 0.856 0.122 0.241  0.00
Y: 0.949 0.533 0.637  0.05
Pu: 0.808 0.000 0.000  -5.58

Properties
Total energy: -69.9 eV for the cell shown
Total moment: 5.767 μB per cell